No. 1
VASP calculation (PBE-GGA) on MnNb2IrCl after structural relaxation.

Cell lengths 4.478, 4.478, 4.343 Å; angles 90.00, 90.00, 90.00 degrees
Fractional positions:
Mn1 0.000 0.000 0.000
Nb1 0.000 0.500 0.500
Nb2 0.500 0.000 0.500
Ir1 0.500 0.500 0.000
Cl1 0.500 0.500 0.500

Output
The distance to the lowest polymorph of the same formula is 100 meV/atom.

No. 2
VASP calculation (PBE-GGA) on MnNb2IrCl after structural relaxation.

Cell lengths 4.684, 4.684, 4.050 Å; angles 90.00, 90.00, 90.00 degrees
Fractional positions:
Mn1 0.000 0.000 0.000
Nb1 0.000 0.500 0.000
Nb2 0.500 0.000 0.000
Ir1 0.500 0.500 0.500
Cl1 0.000 0.000 0.500

Output
The distance to the lowest polymorph of the same formula is 0 meV/atom.

No. 3
VASP calculation (PBE-GGA) on MnNiIr2Cl after structural relaxation.

Cell lengths 4.494, 4.494, 4.365 Å; angles 90.00, 90.00, 90.00 degrees
Fractional positions:
Mn1 0.000 0.000 0.000
Ni1 0.000 0.000 0.500
Ir1 0.000 0.500 0.000
Ir2 0.500 0.000 0.000
Cl1 0.500 0.500 0.500

Output
The distance to the lowest polymorph of the same formula is 370 meV/atom.

No. 4
VASP calculation (PBE-GGA) on MnNiIr2Cl after structural relaxation.

Cell lengths 4.467, 4.467, 4.059 Å; angles 90.00, 90.00, 90.00 degrees
Fractional positions:
Mn1 0.000 0.000 0.000
Ni1 0.500 0.500 0.000
Ir1 0.000 0.500 0.500
Ir2 0.500 0.000 0.500
Cl1 0.500 0.500 0.500

Output
The distance to the lowest polymorph of the same formula is 0 meV/atom.

No. 5
VASP calculation (PBE-GGA) on MnP2IrCl after structural relaxation.

Cell lengths 4.393, 4.393, 6.938 Å; angles 90.00, 90.00, 90.00 degrees
Fractional positions:
Mn1 0.000 0.000 0.000
P1 0.000 0.500 0.500
P2 0.500 0.000 0.500
Ir1 0.500 0.500 0.500
Cl1 0.500 0.500 0.000

Output
The distance to the lowest polymorph of the same formula is 0 meV/atom.

No. 6
VASP calculation (PBE-GGA) on MnPIrCl2 after structural relaxation.

Cell lengths 5.002, 5.002, 4.490 Å; angles 90.00, 90.00, 90.00 degrees
Fractional positions:
Mn1 0.000 0.000 0.000
P1 0.500 0.500 0.000
Ir1 0.500 0.500 0.500
Cl1 0.000 0.500 0.500
Cl2 0.500 0.000 0.500

Output
The distance to the lowest polymorph of the same formula is 0 meV/atom.

Number 1: ΔE_f (raw) 102 kJ per mole of atoms, VASP energy -6.941 eV/atom. Number 2: ΔE_f (raw) 93 kJ per mole of atoms, VASP energy -7.042 eV/atom. Number 3: ΔE_f (raw) 142 kJ per mole of atoms, VASP energy -5.429 eV/atom. Number 4: ΔE_f (raw) 107 kJ per mole of atoms, VASP energy -5.799 eV/atom. Number 5: ΔE_f (raw) 62 kJ per mole of atoms, VASP energy -5.493 eV/atom. Number 6: ΔE_f (raw) 43 kJ per mole of atoms, VASP energy -4.984 eV/atom.